Entry 1:
# GGA-PBE BaReBiSb2, relaxed
# formation energy without anion corrections = 0.94 eV per atom
# total magnetization = 1.88 Bohr magnetons per cell
# raw total energy = -4.36 eV/atom
data_BaReBiSb2
_cell_length_a 5.985
_cell_length_b 5.985
_cell_length_c 5.157
_cell_angle_alpha 90.00
_cell_angle_beta 90.00
_cell_angle_gamma 90.00
_symmetry_space_group_name_H-M 'P 4/m m m'
_symmetry_Int_Tables_number 123
_symmetry_space_group_name_Hall '-P 4 2'
loop_
_atom_site_label
_atom_site_fract_x
_atom_site_fract_y
_atom_site_fract_z
Ba1 0.000 0.000 0.000
Re1 0.500 0.500 0.000
Bi1 0.500 0.500 0.500
Sb1 0.000 0.500 0.500

=====

Entry 2:
# GGA-PBE Pm2BeO3, relaxed
# formation energy without anion corrections = -2.65 eV per atom
# total magnetization = 0.00 Bohr magnetons per cell
# raw total energy = -7.34 eV/atom
data_Pm2BeO3
_cell_length_a 3.437
_cell_length_b 3.559
_cell_length_c 12.551
_cell_angle_alpha 90.00
_cell_angle_beta 90.00
_cell_angle_gamma 90.00
_symmetry_space_group_name_H-M 'I m m m'
_symmetry_Int_Tables_number 71
_symmetry_space_group_name_Hall '-I 2 2'
loop_
_atom_site_label
_atom_site_fract_x
_atom_site_fract_y
_atom_site_fract_z
Pm1 0.000 0.000 0.137
Be1 0.000 0.000 0.500
O1 0.000 0.000 0.331
O2 0.000 0.500 0.000

=====

Entry 3:
# GGA-PBE LaPm5Mg4, relaxed
# formation energy = -0.077 eV per atom
# total magnetization = 0.00 Bohr magnetons per cell
# raw total energy = -3.58 eV/atom
data_LaPm5Mg4
_cell_length_a 3.833
_cell_length_b 3.833
_cell_length_c 20.680
_cell_angle_alpha 90.00
_cell_angle_beta 90.00
_cell_angle_gamma 90.00
_symmetry_space_group_name_H-M 'P 4/m m m'
_symmetry_Int_Tables_number 123
_symmetry_space_group_name_Hall '-P 4 2'
loop_
_atom_site_label
_atom_site_fract_x
_atom_site_fract_y
_atom_site_fract_z
La1 0.000 0.000 0.000
Pm1 0.500 0.500 0.122
Pm2 0.500 0.500 0.312
Pm3 0.500 0.500 0.500
Mg1 0.000 0.000 0.217
Mg2 0.000 0.000 0.406

=====

Entry 4:
# GGA-PBE KZrN2O, relaxed
# formation energy without anion corrections = -0.55 eV per atom
# total magnetization = 3.00 Bohr magnetons per cell
# raw total energy = -6.80 eV/atom
data_KZrN2O
_cell_length_a 4.445
_cell_length_b 4.445
_cell_length_c 4.196
_cell_angle_alpha 90.00
_cell_angle_beta 90.00
_cell_angle_gamma 90.00
_symmetry_space_group_name_H-M 'P 4/m m m'
_symmetry_Int_Tables_number 123
_symmetry_space_group_name_Hall '-P 4 2'
loop_
_atom_site_label
_atom_site_fract_x
_atom_site_fract_y
_atom_site_fract_z
K1 0.000 0.000 0.000
Zr1 0.500 0.500 0.500
N1 0.000 0.500 0.500
O1 0.500 0.500 0.000

=====

Entry 5:
# GGA-PBE TmZn2Pd3, relaxed
# formation energy = -0.689 eV per atom
# total magnetization = 0.00 Bohr magnetons per cell
# raw total energy = -4.46 eV/atom
data_TmZn2Pd3
_cell_length_a 4.4575
_cell_length_b 4.4575
_cell_length_c 11.6400
_cell_angle_alpha 90.00
_cell_angle_beta 90.00
_cell_angle_gamma 120.00
_symmetry_space_group_name_H-M 'P -3 m 1'
_symmetry_Int_Tables_number 164
_symmetry_space_group_name_Hall '-P 3 2"'
loop_
_atom_site_label
_atom_site_fract_x
_atom_site_fract_y
_atom_site_fract_z
Tm1 0.3333 0.6667 0.1765
Zn1 0.0000 0.0000 0.0000
Zn2 0.0000 0.0000 0.5000
Zn3 0.3333 0.6667 0.6581
Pd1 0.0000 0.0000 0.2841
Pd2 0.3333 0.6667 0.4242
Pd3 0.3333 0.6667 0.9307

=====

Entry 6:
# GGA-PBE MnZn2Fe, relaxed
# distance to the lowest polymorph of the same formula = 60.0 meV/atom
# formation energy = 0.075 eV per atom
# total magnetization = 11.13 Bohr magnetons per cell
# raw total energy = -4.97 eV/atom
data_MnZn2Fe
_cell_length_a 9.680
_cell_length_b 2.686
_cell_length_c 4.562
_cell_angle_alpha 90.00
_cell_angle_beta 116.19
_cell_angle_gamma 90.00
_symmetry_space_group_name_H-M 'C 1 m 1'
_symmetry_Int_Tables_number 8
loop_
_symmetry_equiv_pos_as_xyz
'x,y,z'
'x,-y,z'
'x+1/2,y+1/2,z'
'x+1/2,-y+1/2,z'
loop_
_atom_site_label
_atom_site_fract_x
_atom_site_fract_y
_atom_site_fract_z
Mn1 0.000 0.000 0.000
Zn1 0.007 0.500 0.502
Zn2 0.254 0.500 0.392
Fe1 0.255 0.000 0.894

=====

Entry 7:
# GGA-PBE InMoPb, relaxed
# distance to the lowest polymorph of the same formula = 44.4 meV/atom
# formation energy = 0.588 eV per atom
# total magnetization = 0.00 Bohr magnetons per cell
# raw total energy = -5.17 eV/atom
data_InMoPb
_cell_length_a 3.060
_cell_length_b 3.060
_cell_length_c 14.750
_cell_angle_alpha 90.00
_cell_angle_beta 90.00
_cell_angle_gamma 90.00
_symmetry_space_group_name_H-M 'I 4 m m'
_symmetry_Int_Tables_number 107
_symmetry_space_group_name_Hall 'I 4 -2'
loop_
_atom_site_label
_atom_site_fract_x
_atom_site_fract_y
_atom_site_fract_z
In1 0.000 0.000 0.000
Mo1 0.000 0.000 0.637
Pb1 0.000 0.000 0.288

=====

Entry 8:
# GGA-PBE Ba2PtNCl, relaxed
# formation energy without anion corrections = -1.09 eV per atom
# total magnetization = 0.00 Bohr magnetons per cell
# raw total energy = -5.10 eV/atom
data_Ba2PtNCl
_cell_length_a 5.776
_cell_length_b 5.776
_cell_length_c 3.892
_cell_angle_alpha 90.00
_cell_angle_beta 90.00
_cell_angle_gamma 90.00
_symmetry_space_group_name_H-M 'P 4/m m m'
_symmetry_Int_Tables_number 123
_symmetry_space_group_name_Hall '-P 4 2'
loop_
_atom_site_label
_atom_site_fract_x
_atom_site_fract_y
_atom_site_fract_z
Ba1 0.000 0.500 0.000
Pt1 0.000 0.000 0.500
N1 0.000 0.000 0.000
Cl1 0.500 0.500 0.500

=====

Entry 9:
# GGA-PBE RbBaRh2, relaxed
# distance to the lowest polymorph of the same formula = 121.3 meV/atom
# formation energy = 0.814 eV per atom
# total magnetization = 4.03 Bohr magnetons per cell
# raw total energy = -3.58 eV/atom
data_RbBaRh2
_cell_length_a 8.534
_cell_length_b 8.534
_cell_length_c 6.137
_cell_angle_alpha 90.00
_cell_angle_beta 90.00
_cell_angle_gamma 90.00
_symmetry_space_group_name_H-M 'I -4 2 d'
_symmetry_Int_Tables_number 122
_symmetry_space_group_name_Hall 'I -4 2bw'
loop_
_atom_site_label
_atom_site_fract_x
_atom_site_fract_y
_atom_site_fract_z
Rb1 0.000 0.000 0.000
Ba1 0.000 0.000 0.500
Rh1 0.240 0.250 0.625

=====

Entry 10:
# GGA-PBE CoCuSe6, relaxed
# formation energy without anion corrections = -0.09 eV per atom
# total magnetization = 0.00 Bohr magnetons per cell
# raw total energy = -4.11 eV/atom
data_CoCuSe6
_cell_length_a 5.861
_cell_length_b 5.868
_cell_length_c 6.069
_cell_angle_alpha 113.96
_cell_angle_beta 106.82
_cell_angle_gamma 90.74
_symmetry_space_group_name_H-M 'P -1'
_symmetry_Int_Tables_number 2
loop_
_symmetry_equiv_pos_as_xyz
'x,y,z'
'-x,-y,-z'
loop_
_atom_site_label
_atom_site_fract_x
_atom_site_fract_y
_atom_site_fract_z
Co1 0.000 0.000 0.000
Cu1 0.500 0.500 0.000
Se1 0.072 0.157 0.451
Se2 0.156 0.424 0.124
Se3 0.410 0.935 0.125

=====

Entry 11:
# GGA-PBE Sm6Ti4Al43, relaxed
# formation energy = -0.342 eV per atom
# total magnetization = 0.00 Bohr magnetons per cell
# raw total energy = -4.51 eV/atom
data_Sm6Ti4Al43
_cell_length_a 11.1334
_cell_length_b 11.1334
_cell_length_c 17.9289
_cell_angle_alpha 90.00
_cell_angle_beta 90.00
_cell_angle_gamma 120.00
_symmetry_space_group_name_H-M 'P 63/m c m'
_symmetry_Int_Tables_number 193
_symmetry_space_group_name_Hall '-P 6c 2'
loop_
_atom_site_label
_atom_site_fract_x
_atom_site_fract_y
_atom_site_fract_z
Sm1 0.0000 0.4719 0.0961
Ti1 0.0000 0.0000 0.0000
Ti2 0.0000 0.2715 0.2500
Al1 0.0000 0.1463 0.7500
Al2 0.0000 0.1555 0.1164
Al3 0.0000 0.2512 0.5289
Al4 0.1491 0.5530 0.2500
Al5 0.1594 0.3928 0.6644
Al6 0.2469 0.4939 0.0000
Al7 0.3333 0.6667 0.1262

=====

Entry 12:
# GGA-PBE MnCdPt2, relaxed
# formation energy = -0.269 eV per atom
# total magnetization = 4.46 Bohr magnetons per cell
# raw total energy = -5.81 eV/atom
data_MnCdPt2
_cell_length_a 2.981
_cell_length_b 4.621
_cell_length_c 4.790
_cell_angle_alpha 90.00
_cell_angle_beta 90.00
_cell_angle_gamma 90.00
_symmetry_space_group_name_H-M 'P m m 2'
_symmetry_Int_Tables_number 25
loop_
_symmetry_equiv_pos_as_xyz
'x,y,z'
'-x,-y,z'
'-x,y,z'
'x,-y,z'
loop_
_atom_site_label
_atom_site_fract_x
_atom_site_fract_y
_atom_site_fract_z
Mn1 0.000 0.000 0.000
Cd1 0.000 0.500 0.401
Pt1 0.500 0.000 0.520
Pt2 0.500 0.500 0.905

=====

Entry 13:
# GGA-PBE Pr8Nd2Zn, relaxed
# distance to the lowest polymorph of the same formula = 58.7 meV/atom
# formation energy = 0.047 eV per atom
# total magnetization = 0.00 Bohr magnetons per cell
# raw total energy = -4.41 eV/atom
data_Pr8Nd2Zn
_cell_length_a 18.246
_cell_length_b 5.765
_cell_length_c 7.607
_cell_angle_alpha 90.00
_cell_angle_beta 109.16
_cell_angle_gamma 90.00
_symmetry_space_group_name_H-M 'C 1 2/m 1'
_symmetry_Int_Tables_number 12
loop_
_symmetry_equiv_pos_as_xyz
'x,y,z'
'-x,-y,-z'
'-x,y,-z'
'x,-y,z'
'x+1/2,y+1/2,z'
'-x+1/2,-y+1/2,-z'
'-x+1/2,y+1/2,-z'
'x+1/2,-y+1/2,z'
loop_
_atom_site_label
_atom_site_fract_x
_atom_site_fract_y
_atom_site_fract_z
Pr1 0.013 0.000 0.277
Pr2 0.103 0.500 0.924
Pr3 0.156 0.500 0.437
Pr4 0.186 0.000 0.729
Nd1 0.185 0.000 0.168
Zn1 0.000 0.500 0.500

=====

Entry 14:
# GGA-PBE Hf4C2S, relaxed
# formation energy without anion corrections = -1.02 eV per atom
# total magnetization = 0.00 Bohr magnetons per cell
# raw total energy = -9.93 eV/atom
data_Hf4C2S
_cell_length_a 3.3503
_cell_length_b 3.3503
_cell_length_c 33.8761
_cell_angle_alpha 90.00
_cell_angle_beta 90.00
_cell_angle_gamma 120.00
_symmetry_space_group_name_H-M 'R -3 m'
_symmetry_Int_Tables_number 166
_symmetry_space_group_name_Hall '-R 3 2"'
loop_
_atom_site_label
_atom_site_fract_x
_atom_site_fract_y
_atom_site_fract_z
Hf1 0.0000 0.0000 0.1267
Hf2 0.0000 0.0000 0.2792
C1 0.0000 0.0000 0.4220
S1 0.0000 0.0000 0.0000

=====

Entry 15:
# GGA-PBE Pt2Rh, relaxed
# formation energy = -0.022 eV per atom
# total magnetization = 0.01 Bohr magnetons per cell
# raw total energy = -6.50 eV/atom
data_Pt2Rh
_cell_length_a 2.778
_cell_length_b 2.778
_cell_length_c 11.787
_cell_angle_alpha 90.00
_cell_angle_beta 90.00
_cell_angle_gamma 90.00
_symmetry_space_group_name_H-M 'I 4/m m m'
_symmetry_Int_Tables_number 139
_symmetry_space_group_name_Hall '-I 4 2'
loop_
_atom_site_label
_atom_site_fract_x
_atom_site_fract_y
_atom_site_fract_z
Pt1 0.000 0.000 0.164
Rh1 0.000 0.000 0.500

=====

Entry 16:
# GGA-PBE MnCdOs, relaxed
# distance to the lowest polymorph of the same formula = 500.4 meV/atom
# formation energy = 0.795 eV per atom
# total magnetization = 4.47 Bohr magnetons per cell
# raw total energy = -6.31 eV/atom
data_MnCdOs
_cell_length_a 5.882
_cell_length_b 5.882
_cell_length_c 5.882
_cell_angle_alpha 90.00
_cell_angle_beta 90.00
_cell_angle_gamma 90.00
_symmetry_space_group_name_H-M 'F -4 3 m'
_symmetry_Int_Tables_number 216
_symmetry_space_group_name_Hall 'F -4 2 3'
loop_
_atom_site_label
_atom_site_fract_x
_atom_site_fract_y
_atom_site_fract_z
Mn1 0.000 0.000 0.000
Cd1 0.250 0.250 0.250
Os1 0.250 0.250 0.750

=====

Entry 17:
# GGA-PBE CeTmRh2, relaxed
# formation energy = -0.695 eV per atom
# total magnetization = 0.00 Bohr magnetons per cell
# raw total energy = -6.97 eV/atom
data_CeTmRh2
_cell_length_a 3.9343
_cell_length_b 3.9343
_cell_length_c 19.7982
_cell_angle_alpha 90.00
_cell_angle_beta 90.00
_cell_angle_gamma 120.00
_symmetry_space_group_name_H-M 'R -3 m'
_symmetry_Int_Tables_number 166
_symmetry_space_group_name_Hall '-R 3 2"'
loop_
_atom_site_label
_atom_site_fract_x
_atom_site_fract_y
_atom_site_fract_z
Ce1 0.0000 0.0000 0.0000
Tm1 0.0000 0.0000 0.5000
Rh1 0.0000 0.0000 0.2523

=====

Entry 18:
# GGA-PBE Cs4NaHg3F12, relaxed
# formation energy without anion corrections = -2.10 eV per atom
# total magnetization = 0.03 Bohr magnetons per cell
# raw total energy = -3.51 eV/atom
data_Cs4NaHg3F12
_cell_length_a 9.269
_cell_length_b 9.269
_cell_length_c 9.269
_cell_angle_alpha 90.00
_cell_angle_beta 90.00
_cell_angle_gamma 90.00
_symmetry_space_group_name_H-M 'I m -3 m'
_symmetry_Int_Tables_number 229
_symmetry_space_group_name_Hall '-I 4 2 3'
loop_
_atom_site_label
_atom_site_fract_x
_atom_site_fract_y
_atom_site_fract_z
Cs1 0.250 0.250 0.250
Na1 0.000 0.000 0.000
Hg1 0.000 0.000 0.500
F1 0.000 0.000 0.260
F2 0.000 0.250 0.500